1.
## VGa2O (GGA+U)

Data for crystalline VGa2O at its relaxed geometry.

a b c (Å): 7.656 7.656 4.329
angles (deg): 90.00 90.00 90.00
Space group I-42d (No. 122)
Unique sites:
V (0.000, 0.000, 0.000) x4
Ga (0.159, 0.250, 0.625) x8
O (0.000, 0.000, 0.500) x4

Values from the calculation:
Its raw total energy is -4.77 eV per atom.


2.
## V3GaO8 (GGA+U)

Data for crystalline V3GaO8 at its relaxed geometry.

a b c (Å): 12.083 3.798 6.531
angles (deg): 90.00 106.94 90.00
Space group Cm (No. 8)
Unique sites:
V (0.000, 0.000, 0.000) x2
V (0.097, 0.000, 0.588) x2
V (0.290, 0.500, 0.548) x2
Ga (0.200, 0.500, 0.977) x2
O (0.030, 0.500, 0.973) x2
O (0.034, 0.000, 0.270) x2
O (0.139, 0.500, 0.626) x2
O (0.157, 0.000, 0.923) x2
O (0.259, 0.000, 0.583) x2
O (0.263, 0.500, 0.277) x2
O (0.348, 0.500, 0.910) x2
O (0.458, 0.500, 0.629) x2

Values from the calculation:
Its raw total energy is -7.30 eV per atom.


3.
## V3GaO (GGA+U)

Data for crystalline V3GaO at its relaxed geometry.

a b c (Å): 4.238 4.238 4.238
angles (deg): 90.00 90.00 90.00
Space group Pm-3m (No. 221)
Unique sites:
V (0.000, 0.000, 0.500) x3
Ga (0.500, 0.500, 0.500) x1
O (0.000, 0.000, 0.000) x1

Values from the calculation:
For the energy above the most stable polymorph in this dataset, the calculation gives 0 meV/atom.